## RbSrTi3 (PBE)

Data for a relaxed structure of RbSrTi3.

Cell lengths 5.1023, 5.1023, 5.1023 Å; angles 90.00, 90.00, 90.00 degrees
With the nearest neighbours (Å) after each atom.
Positions (direct):
Ti 0.0000 0.0000 0.5000  2 Rb 2.55
Ti 0.5000 0.0000 0.0000  2 Rb 2.55
Ti 0.0000 0.5000 0.0000  2 Rb 2.55
Sr 0.5000 0.5000 0.5000  12 Ti 3.61
Rb 0.0000 0.0000 0.0000  6 Ti 2.55

## Properties
energy relative to the elements	1.85	eV/atom
relative energy among the computed polymorphs	0	meV per atom
electronic total energy	-0.251	Ry/atom

***

## RbSr2Ti2 (PBE)

Data for a relaxed structure of RbSr2Ti2.

Cell lengths 10.2968, 10.2968, 3.6186 Å; angles 90.00, 90.00, 90.00 degrees
With the nearest neighbours (Å) after each atom.
Positions (direct):
Ti 0.5762 0.9238 0.5000  1 Ti 2.22
Ti 0.4238 0.0762 0.5000  1 Ti 2.22
Ti 0.0762 0.5762 0.5000  1 Ti 2.22
Ti 0.9238 0.4238 0.5000  1 Ti 2.22
Rb 0.5000 0.5000 0.0000  2 Rb 3.62, 4 Sr 3.73
Rb 0.0000 0.0000 0.0000  2 Rb 3.62, 4 Sr 3.73
Sr 0.3070 0.8070 0.0000  6 Ti 3.52-3.82, 2 Sr 3.62, 2 Rb 3.73
Sr 0.1930 0.3070 0.0000  6 Ti 3.52-3.82, 2 Sr 3.62, 2 Rb 3.73
Sr 0.6930 0.1930 0.0000  6 Ti 3.52-3.82, 2 Sr 3.62, 2 Rb 3.73
Sr 0.8070 0.6930 0.0000  6 Ti 3.52-3.82, 2 Sr 3.62, 2 Rb 3.73

## Properties
energy relative to the elements	0.77	eV/atom
relative energy among the computed polymorphs	233	meV per atom
electronic total energy	-0.240	Ry/atom

***

## RbSrTi2 (PBE)

Data for a relaxed structure of RbSrTi2.

Cell lengths 5.8966, 5.8966, 5.8966 Å; angles 60.00, 60.00, 60.00 degrees
With the nearest neighbours (Å) after each atom.
Positions (direct):
Ti 0.7500 0.7500 0.7500  4 Rb 3.61, 4 Sr 3.61
Ti 0.2500 0.2500 0.2500  4 Rb 3.61, 4 Sr 3.61
Rb 0.0000 0.0000 0.0000  8 Ti 3.61
Sr 0.5000 0.5000 0.5000  8 Ti 3.61

## Properties
energy relative to the elements	1.38	eV/atom
relative energy among the computed polymorphs	0	meV per atom
electronic total energy	-0.237	Ry/atom

***

## RbSr2Ti2 (PBE)

Data for a relaxed structure of RbSr2Ti2.

Cell lengths 3.7933, 3.7933, 14.2120 Å; angles 82.33, 82.33, 90.00 degrees
With the nearest neighbours (Å) after each atom.
Positions (direct):
Sr 0.3580 0.3580 0.2840  4 Ti 3.56, 4 Sr 3.79
Sr 0.6420 0.6420 0.7160  4 Ti 3.56, 4 Sr 3.79
Rb 0.0000 0.0000 0.0000  4 Rb 3.79
Ti 0.7500 0.2500 0.5000  4 Ti 2.68
Ti 0.2500 0.7500 0.5000  4 Ti 2.68

## Properties
energy relative to the elements	0.53	eV/atom
relative energy among the computed polymorphs	0	meV per atom
electronic total energy	-0.257	Ry/atom

***

## RbSr3Ti (PBE)

Data for a relaxed structure of RbSr3Ti.

Cell lengths 6.3397, 6.3397, 6.3397 Å; angles 90.00, 90.00, 90.00 degrees
With the nearest neighbours (Å) after each atom.
Positions (direct):
Sr 0.0000 0.5000 0.0000  2 Rb 3.17
Sr 0.5000 0.0000 0.0000  2 Rb 3.17
Sr 0.0000 0.0000 0.5000  2 Rb 3.17
Ti 0.5000 0.5000 0.5000  12 Sr 4.48
Rb 0.0000 0.0000 0.0000  6 Sr 3.17

## Properties
energy relative to the elements	1.48	eV/atom
relative energy among the computed polymorphs	907	meV per atom
electronic total energy	-0.096	Ry/atom

***

## Rb2SrTiV (PBE)

Data for a relaxed structure of Rb2SrTiV.

Cell lengths 6.5207, 6.4613, 6.5207 Å; angles 90.00, 90.00, 90.00 degrees
With the nearest neighbours (Å) after each atom.
Positions (direct):
Rb 0.0000 0.0000 0.5000  2 V 3.26
Rb 0.5000 0.0000 0.0000  2 V 3.26
Ti 0.5000 0.5000 0.5000  8 Rb 4.59, 4 Sr 4.61
Sr 0.0000 0.5000 0.0000  2 V 3.23
V 0.0000 0.0000 0.0000  2 Sr 3.23, 4 Rb 3.26

## Properties
energy relative to the elements	1.52	eV/atom
electronic total energy	-0.191	Ry/atom

***

## RbSr4Tl5 (PBE)

Data for a relaxed structure of RbSr4Tl5.

Cell lengths 4.1468, 4.1468, 21.1147 Å; angles 90.00, 90.00, 90.00 degrees
With the nearest neighbours (Å) after each atom.
Positions (direct):
Sr 0.0000 0.0000 0.7871  8 Tl 3.49-3.53
Sr 0.0000 0.0000 0.5959  8 Tl 3.56-3.59
Sr 0.0000 0.0000 0.2129  8 Tl 3.49-3.53
Sr 0.0000 0.0000 0.4041  8 Tl 3.56-3.59
Tl 0.5000 0.5000 0.3064  8 Sr 3.53-3.59, 1 Tl 3.86
Tl 0.5000 0.5000 0.1236  4 Sr 3.49, 1 Tl 3.86
Tl 0.5000 0.5000 0.8764  4 Sr 3.49, 1 Tl 3.86
Tl 0.5000 0.5000 0.6936  8 Sr 3.53-3.59, 1 Tl 3.86
Tl 0.5000 0.5000 0.5000  8 Sr 3.56
Rb 0.0000 0.0000 0.0000  8 Tl 3.93, 4 Rb 4.15

## Properties
energy relative to the elements	-0.34	eV/atom
electronic total energy	-0.169	Ry/atom

***

## Rb2SrTl16 (PBE)

Data for a relaxed structure of Rb2SrTl16.

Cell lengths 8.7594, 8.7594, 8.7594 Å; angles 81.87, 81.87, 81.87 degrees
With the nearest neighbours (Å) after each atom.
Positions (direct):
Tl 0.8414 0.3567 0.3567  9 Tl 3.35-3.64
Tl 0.1118 0.1118 0.1118  6 Tl 3.38-3.64, 1 Sr 3.51
Tl 0.7060 0.0015 0.2957  8 Tl 3.34-3.74
Tl 0.3567 0.8414 0.3567  9 Tl 3.35-3.64
Tl 0.7060 0.2957 0.0015  8 Tl 3.34-3.74
Tl 0.0046 0.0046 0.4939  9 Tl 3.34-3.38, 1 Sr 3.61
Tl 0.0015 0.2957 0.7060  8 Tl 3.34-3.74
Tl 0.3567 0.3567 0.8414  9 Tl 3.35-3.64
Tl 0.6430 0.1381 0.6430  8 Tl 3.36-3.74, 1 Sr 3.70
Tl 0.6430 0.6430 0.1381  8 Tl 3.36-3.74, 1 Sr 3.70
Tl 0.2957 0.0015 0.7060  8 Tl 3.34-3.74
Tl 0.0046 0.4939 0.0046  9 Tl 3.34-3.38, 1 Sr 3.61
Tl 0.0015 0.7060 0.2957  8 Tl 3.34-3.74
Tl 0.1381 0.6430 0.6430  8 Tl 3.36-3.74, 1 Sr 3.70
Tl 0.4939 0.0046 0.0046  9 Tl 3.34-3.38, 1 Sr 3.61
Tl 0.2957 0.7060 0.0015  8 Tl 3.34-3.74
Rb 0.3426 0.3426 0.3426  19 Tl 3.97-4.42
Rb 0.6496 0.6496 0.6496  12 Tl 3.93-4.26
Sr 0.9077 0.9077 0.9077  13 Tl 3.51-3.75

## Properties
energy relative to the elements	-0.06	eV/atom
electronic total energy	-0.165	Ry/atom

***

## RbSr2Tl2 (PBE)

Data for a relaxed structure of RbSr2Tl2.

Cell lengths 9.9549, 9.9549, 3.9948 Å; angles 90.00, 90.00, 90.00 degrees
With the nearest neighbours (Å) after each atom.
Positions (direct):
Tl 0.8445 0.3445 0.5000  6 Sr 3.52-3.55
Tl 0.3445 0.1555 0.5000  6 Sr 3.52-3.55
Tl 0.1555 0.6555 0.5000  6 Sr 3.52-3.55
Tl 0.6555 0.8445 0.5000  6 Sr 3.52-3.55
Rb 0.0000 0.0000 0.0000  4 Sr 3.85, 2 Rb 3.99, 8 Tl 4.26
Rb 0.5000 0.5000 0.0000  4 Sr 3.85, 2 Rb 3.99, 8 Tl 4.26
Sr 0.6387 0.1387 0.0000  6 Tl 3.52-3.55, 2 Rb 3.85, 1 Sr 3.90
Sr 0.1387 0.3613 0.0000  6 Tl 3.52-3.55, 2 Rb 3.85, 1 Sr 3.90
Sr 0.8613 0.6387 0.0000  6 Tl 3.52-3.55, 2 Rb 3.85, 1 Sr 3.90
Sr 0.3613 0.8613 0.0000  6 Tl 3.52-3.55, 2 Rb 3.85, 1 Sr 3.90

## Properties
energy relative to the elements	-0.21	eV/atom
relative energy among the computed polymorphs	9	meV per atom
electronic total energy	-0.149	Ry/atom

***

## Rb2Sr2Tl15 (PBE)

Data for a relaxed structure of Rb2Sr2Tl15.

Cell lengths 8.8019, 8.8019, 8.8019 Å; angles 81.59, 81.59, 81.59 degrees
With the nearest neighbours (Å) after each atom.
Positions (direct):
Tl 0.6378 0.1450 0.6378  8 Tl 3.38-3.77, 1 Sr 3.67
Tl 0.5000 0.0000 0.0000  8 Tl 3.36-3.38, 2 Sr 3.46
Tl 0.0000 0.5000 0.0000  8 Tl 3.36-3.38, 2 Sr 3.46
Tl 0.2900 0.7100 0.0000  6 Tl 3.34-3.43
Tl 0.0000 0.0000 0.5000  8 Tl 3.36-3.38, 2 Sr 3.46
Tl 0.0000 0.7100 0.2900  6 Tl 3.34-3.43
Tl 0.8550 0.3622 0.3622  8 Tl 3.38-3.77, 1 Sr 3.67
Tl 0.7100 0.2900 0.0000  6 Tl 3.34-3.43
Tl 0.3622 0.3622 0.8550  8 Tl 3.38-3.77, 1 Sr 3.67
Tl 0.7100 0.0000 0.2900  6 Tl 3.34-3.43
Tl 0.0000 0.2900 0.7100  6 Tl 3.34-3.43
Tl 0.6378 0.6378 0.1450  8 Tl 3.38-3.77, 1 Sr 3.67
Tl 0.2900 0.0000 0.7100  6 Tl 3.34-3.43
Tl 0.3622 0.8550 0.3622  8 Tl 3.38-3.77, 1 Sr 3.67
Tl 0.1450 0.6378 0.6378  8 Tl 3.38-3.77, 1 Sr 3.67
Rb 0.3533 0.3533 0.3533  9 Tl 3.88-4.12, 1 Sr 4.23
Rb 0.6467 0.6467 0.6467  9 Tl 3.88-4.12, 1 Sr 4.23
Sr 0.1095 0.1095 0.1095  12 Tl 3.46-3.84, 1 Sr 3.80
Sr 0.8905 0.8905 0.8905  12 Tl 3.46-3.84, 1 Sr 3.80

## Properties
energy relative to the elements	-0.09	eV/atom
electronic total energy	-0.164	Ry/atom

***

## RbSrTl (PBE)

Data for a relaxed structure of RbSrTl.

Cell lengths 9.4657, 10.9571, 10.9571 Å; angles 61.14, 64.41, 64.41 degrees
With the nearest neighbours (Å) after each atom.
Positions (direct):
Rb 0.6710 0.5425 0.0425  5 Tl 3.89-4.02, 2 Sr 4.26
Rb 0.6688 0.0444 0.5444  5 Tl 3.91-3.97, 6 Sr 4.25-4.38
Rb 0.8464 0.7477 0.2477  5 Tl 3.90-3.97, 2 Sr 4.27
Rb 0.8418 0.2523 0.7523  5 Tl 3.90-3.97, 2 Sr 4.27
Rb 0.2577 0.9556 0.4556  5 Tl 3.91-3.97, 6 Sr 4.25-4.38
Rb 0.2559 0.4575 0.9575  5 Tl 3.89-4.02, 2 Sr 4.26
Sr 0.0110 0.6258 0.6205  4 Tl 3.62-3.64, 2 Sr 4.02
Sr 0.2573 0.8795 0.8742  4 Tl 3.62-3.64, 2 Sr 4.02
Sr 0.0110 0.1205 0.1258  4 Tl 3.62-3.64, 2 Sr 4.02
Sr 0.5019 0.0000 0.0000  4 Tl 3.63, 2 Sr 4.02
Sr 0.2573 0.3742 0.3795  4 Tl 3.62-3.64, 2 Sr 4.02
Sr 0.5019 0.5000 0.5000  4 Tl 3.63, 2 Sr 4.02
Tl 0.5915 0.6694 0.6622  3 Sr 3.63-3.64, 6 Rb 3.96-4.02
Tl 0.5915 0.1622 0.1694  3 Sr 3.63-3.64, 6 Rb 3.96-4.02
Tl 0.2581 0.7482 0.2482  6 Sr 3.62-3.63, 3 Rb 3.89-3.91
Tl 0.2545 0.2518 0.7518  6 Sr 3.62-3.63, 3 Rb 3.89-3.91
Tl 0.9231 0.3306 0.3378  3 Sr 3.63-3.64, 6 Rb 3.96-4.02
Tl 0.9231 0.8378 0.8306  3 Sr 3.63-3.64, 6 Rb 3.96-4.02

## Properties
energy relative to the elements	-0.06	eV/atom
relative energy among the computed polymorphs	63	meV per atom
electronic total energy	-0.127	Ry/atom

***

## Rb2SrTl (PBE)

Data for a relaxed structure of Rb2SrTl.

Cell lengths 12.0348, 12.0348, 9.1766 Å; angles 49.02, 49.02, 90.00 degrees
With the nearest neighbours (Å) after each atom.
Positions (direct):
Rb 0.8750 0.9645 0.7500  2 Tl 3.68, 2 Rb 4.05
Rb 0.7145 0.1250 0.2500  2 Tl 3.68, 2 Rb 4.05
Rb 0.3750 0.2855 0.7500  2 Tl 3.68, 2 Rb 4.05
Rb 0.0355 0.6250 0.2500  2 Tl 3.68, 2 Rb 4.05
Sr 0.5000 0.5000 0.0000  2 Tl 3.43
Sr 0.2500 0.7500 0.5000  2 Tl 3.43
Tl 0.7500 0.2500 0.5000  2 Sr 3.43, 4 Rb 3.68
Tl 0.0000 0.0000 0.0000  2 Sr 3.43, 4 Rb 3.68

## Properties
energy relative to the elements	0.12	eV/atom
relative energy among the computed polymorphs	0	meV per atom
electronic total energy	-0.101	Ry/atom

***

## RbSr2Tl2 (PBE)

Data for a relaxed structure of RbSr2Tl2.

Cell lengths 6.1826, 6.1826, 7.3372 Å; angles 65.08, 65.08, 90.00 degrees
With the nearest neighbours (Å) after each atom.
Positions (direct):
Sr 0.7500 0.2500 0.5000  4 Tl 3.44
Sr 0.2500 0.7500 0.5000  4 Tl 3.44
Rb 0.0000 0.0000 0.0000  8 Sr 4.27, 10 Tl 4.45-4.60
Tl 0.6221 0.6221 0.7558  1 Tl 2.88
Tl 0.3779 0.3779 0.2442  1 Tl 2.88

## Properties
energy relative to the elements	-0.14	eV/atom
relative energy among the computed polymorphs	82	meV per atom
electronic total energy	-0.143	Ry/atom

***

## RbSr2Tl2 (PBE)

Data for a relaxed structure of RbSr2Tl2.

Cell lengths 6.2053, 6.2053, 7.8798 Å; angles 66.81, 66.81, 90.00 degrees
With the nearest neighbours (Å) after each atom.
Positions (direct):
Tl 0.2500 0.7500 0.5000  4 Sr 3.34
Tl 0.7500 0.2500 0.5000  4 Sr 3.34
Sr 0.3437 0.3437 0.3127  4 Tl 3.34
Sr 0.6563 0.6563 0.6873  4 Tl 3.34
Rb 0.0000 0.0000 0.0000  10 Sr 4.50-4.84, 8 Tl 4.51

## Properties
energy relative to the elements	-0.01	eV/atom
relative energy among the computed polymorphs	205	meV per atom
electronic total energy	-0.134	Ry/atom

***

## RbSr3Tl (PBE)

Data for a relaxed structure of RbSr3Tl.

Cell lengths 6.8245, 6.8245, 6.8245 Å; angles 90.00, 90.00, 90.00 degrees
With the nearest neighbours (Å) after each atom.
Positions (direct):
Sr 0.5000 0.0000 0.0000  2 Rb 3.41
Sr 0.0000 0.0000 0.5000  2 Rb 3.41
Sr 0.0000 0.5000 0.0000  2 Rb 3.41
Rb 0.0000 0.0000 0.0000  6 Sr 3.41
Tl 0.5000 0.5000 0.5000  12 Sr 4.83

## Properties
energy relative to the elements	0.82	eV/atom
relative energy among the computed polymorphs	880	meV per atom
electronic total energy	-0.063	Ry/atom

***

## RbSrTl (PBE)

Data for a relaxed structure of RbSrTl.

Cell lengths 4.2986, 4.2986, 8.4891 Å; angles 104.67, 104.67, 90.00 degrees
With the nearest neighbours (Å) after each atom.
Positions (direct):
Tl 0.3122 0.3122 0.6244  4 Sr 3.44
Sr 0.7109 0.7109 0.4219  4 Tl 3.44
Rb 0.9769 0.9769 0.9537  4 Tl 4.01, 1 Sr 4.22, 4 Rb 4.30

## Properties
energy relative to the elements	-0.12	eV/atom
relative energy among the computed polymorphs	0	meV per atom
electronic total energy	-0.132	Ry/atom

***

## RbSr2Tl2 (PBE)

Data for a relaxed structure of RbSr2Tl2.

Cell lengths 9.7963, 9.7963, 4.2853 Å; angles 90.00, 90.00, 90.00 degrees
With the nearest neighbours (Å) after each atom.
Positions (direct):
Sr 0.6640 0.8360 0.5000  6 Tl 3.57-3.62
Sr 0.1640 0.6640 0.5000  6 Tl 3.57-3.62
Sr 0.3360 0.1640 0.5000  6 Tl 3.57-3.62
Sr 0.8360 0.3360 0.5000  6 Tl 3.57-3.62
Tl 0.3748 0.8748 0.0000  1 Tl 3.47, 6 Sr 3.57-3.62, 2 Rb 3.87
Tl 0.6252 0.1252 0.0000  1 Tl 3.47, 6 Sr 3.57-3.62, 2 Rb 3.87
Tl 0.1252 0.3748 0.0000  1 Tl 3.47, 6 Sr 3.57-3.62, 2 Rb 3.87
Tl 0.8748 0.6252 0.0000  1 Tl 3.47, 6 Sr 3.57-3.62, 2 Rb 3.87
Rb 0.5000 0.5000 0.0000  4 Tl 3.87, 8 Sr 4.24, 2 Rb 4.29
Rb 0.0000 0.0000 0.0000  4 Tl 3.87, 8 Sr 4.24, 2 Rb 4.29

## Properties
energy relative to the elements	-0.22	eV/atom
relative energy among the computed polymorphs	0	meV per atom
electronic total energy	-0.149	Ry/atom

***

## Rb3SrTl (PBE)

Data for a relaxed structure of Rb3SrTl.

Cell lengths 7.1496, 7.1496, 7.1496 Å; angles 90.00, 90.00, 90.00 degrees
With the nearest neighbours (Å) after each atom.
Positions (direct):
Tl 0.0000 0.0000 0.0000  6 Rb 3.57
Rb 0.0000 0.5000 0.0000  2 Tl 3.57
Rb 0.0000 0.0000 0.5000  2 Tl 3.57
Rb 0.5000 0.0000 0.0000  2 Tl 3.57
Sr 0.5000 0.5000 0.5000  12 Rb 5.06

## Properties
energy relative to the elements	0.20	eV/atom
relative energy among the computed polymorphs	0	meV per atom
electronic total energy	-0.087	Ry/atom

***

## Rb2SrTl9 (PBE)

Data for a relaxed structure of Rb2SrTl9.

Cell lengths 6.6287, 6.6287, 11.8041 Å; angles 73.69, 73.69, 60.00 degrees
With the nearest neighbours (Å) after each atom.
Positions (direct):
Tl 0.9214 0.4171 0.2443  7 Tl 3.29-3.45
Tl 0.6654 0.6654 0.0039  6 Tl 3.31-3.36
Tl 0.0786 0.5829 0.7557  7 Tl 3.29-3.45
Tl 0.5000 0.5000 0.5000  6 Tl 3.45
Tl 0.4171 0.4171 0.2443  7 Tl 3.29-3.45
Tl 0.4171 0.9214 0.2443  7 Tl 3.29-3.45
Tl 0.5829 0.0786 0.7557  7 Tl 3.29-3.45
Tl 0.3346 0.3346 0.9961  6 Tl 3.31-3.36
Tl 0.5829 0.5829 0.7557  7 Tl 3.29-3.45
Rb 0.1420 0.1420 0.5741  12 Tl 3.89-4.14, 3 Rb 4.17
Rb 0.8580 0.8580 0.4259  12 Tl 3.89-4.14, 3 Rb 4.17
Sr 0.0000 0.0000 0.0000  6 Tl 3.83

## Properties
energy relative to the elements	-0.10	eV/atom
electronic total energy	-0.160	Ry/atom

***

## Rb3SrTl (PBE)

Data for a relaxed structure of Rb3SrTl.

Cell lengths 8.0060, 8.0060, 8.0060 Å; angles 90.00, 90.00, 90.00 degrees
With the nearest neighbours (Å) after each atom.
Positions (direct):
Rb 0.0000 0.5000 0.0000  2 Sr 4.00
Rb 0.5000 0.0000 0.0000  2 Sr 4.00
Rb 0.0000 0.0000 0.5000  2 Sr 4.00
Tl 0.5000 0.5000 0.5000  12 Rb 5.66
Sr 0.0000 0.0000 0.0000  6 Rb 4.00

## Properties
energy relative to the elements	0.57	eV/atom
relative energy among the computed polymorphs	372	meV per atom
electronic total energy	-0.060	Ry/atom